First-principles (PBE-GGA) data for a geometry-optimized Tb5BeTe4 structure, as listed in the Alexandria database.

```
Tb5BeTe4
1.0
-4.836 4.836 3.052
4.836 -4.836 3.052
4.836 4.836 -3.052
Tb Be Te
5 1 4
Direct
0.000 0.000 0.000 Tb
0.231 0.405 0.636 Tb
0.405 0.769 0.175 Tb
0.595 0.231 0.825 Tb
0.769 0.595 0.364 Tb
0.500 0.500 0.000 Be
0.089 0.693 0.782 Te
0.307 0.089 0.396 Te
0.693 0.911 0.604 Te
0.911 0.307 0.218 Te
```

Values from the calculation:
Total moment: 0.00 μB/f.u.
ΔE_f (raw): -1.059 eV/atom